Entry from the Alexandria database: a relaxed structure of PmInO2 (PBE).

abc: 7.1867 7.1867 7.1867
angles: 29.04 29.04 29.04
Fractional coordinates of all 4 atoms:
Pm (0.0000, 0.0000, 0.0000)
In (0.5000, 0.5000, 0.5000)
O (0.3884, 0.3884, 0.3884)
O (0.6116, 0.6116, 0.6116)

Calculated values
Final energy   -26.42 eV/f.u.
M_tot   0.000 μB/atom

---

Entry from the Alexandria database: a relaxed structure of Pm3In5O12 (PBE).

abc: 11.5317 11.5317 11.5317
angles: 109.47 109.47 109.47
Fractional coordinates of all 80 atoms:
Pm (0.1250, 0.2500, 0.3750)
Pm (0.1250, 0.3750, 0.7500)
Pm (0.2500, 0.3750, 0.1250)
Pm (0.2500, 0.8750, 0.6250)
Pm (0.3750, 0.1250, 0.2500)
Pm (0.3750, 0.7500, 0.1250)
Pm (0.6250, 0.2500, 0.8750)
Pm (0.6250, 0.8750, 0.7500)
Pm (0.7500, 0.1250, 0.3750)
Pm (0.7500, 0.6250, 0.8750)
Pm (0.8750, 0.6250, 0.2500)
Pm (0.8750, 0.7500, 0.6250)
In (0.0000, 0.0000, 0.0000)
In (0.0000, 0.0000, 0.5000)
In (0.0000, 0.5000, 0.0000)
In (0.0000, 0.5000, 0.5000)
In (0.1250, 0.7500, 0.8750)
In (0.1250, 0.8750, 0.2500)
In (0.2500, 0.1250, 0.8750)
In (0.2500, 0.6250, 0.3750)
In (0.3750, 0.2500, 0.6250)
In (0.3750, 0.6250, 0.7500)
In (0.5000, 0.0000, 0.0000)
In (0.5000, 0.0000, 0.5000)
In (0.5000, 0.5000, 0.0000)
In (0.5000, 0.5000, 0.5000)
In (0.6250, 0.3750, 0.2500)
In (0.6250, 0.7500, 0.3750)
In (0.7500, 0.3750, 0.6250)
In (0.7500, 0.8750, 0.1250)
In (0.8750, 0.1250, 0.7500)
In (0.8750, 0.2500, 0.1250)
O (0.0400, 0.2136, 0.1301)
O (0.0400, 0.3265, 0.9099)
O (0.0835, 0.7136, 0.6735)
O (0.0835, 0.8699, 0.4099)
O (0.0901, 0.6301, 0.4165)
O (0.0901, 0.9600, 0.6735)
O (0.1301, 0.0400, 0.2136)
O (0.1301, 0.5901, 0.9165)
O (0.1735, 0.2136, 0.5835)
O (0.1735, 0.4600, 0.5901)
O (0.2136, 0.1301, 0.0400)
O (0.2136, 0.5835, 0.1735)
O (0.2864, 0.3265, 0.9165)
O (0.2864, 0.4600, 0.3699)
O (0.3265, 0.9099, 0.0400)
O (0.3265, 0.9165, 0.2864)
O (0.3699, 0.2864, 0.4600)
O (0.3699, 0.5835, 0.9099)
O (0.4099, 0.0835, 0.8699)
O (0.4099, 0.8265, 0.5400)
O (0.4165, 0.0901, 0.6301)
O (0.4165, 0.8265, 0.7864)
O (0.4600, 0.3699, 0.2864)
O (0.4600, 0.5901, 0.1735)
O (0.5400, 0.4099, 0.8265)
O (0.5400, 0.6301, 0.7136)
O (0.5835, 0.1735, 0.2136)
O (0.5835, 0.9099, 0.3699)
O (0.5901, 0.1735, 0.4600)
O (0.5901, 0.9165, 0.1301)
O (0.6301, 0.4165, 0.0901)
O (0.6301, 0.7136, 0.5400)
O (0.6735, 0.0835, 0.7136)
O (0.6735, 0.0901, 0.9600)
O (0.7136, 0.5400, 0.6301)
O (0.7136, 0.6735, 0.0835)
O (0.7864, 0.4165, 0.8265)
O (0.7864, 0.8699, 0.9600)
O (0.8265, 0.5400, 0.4099)
O (0.8265, 0.7864, 0.4165)
O (0.8699, 0.4099, 0.0835)
O (0.8699, 0.9600, 0.7864)
O (0.9099, 0.0400, 0.3265)
O (0.9099, 0.3699, 0.5835)
O (0.9165, 0.1301, 0.5901)
O (0.9165, 0.2864, 0.3265)
O (0.9600, 0.6735, 0.0901)
O (0.9600, 0.7864, 0.8699)

Calculated values
Final energy   -131.87 eV/f.u.
M_tot   0.000 μB/atom

---

Entry from the Alexandria database: a relaxed structure of PmInO3 (PBE).

abc: 5.7251 3.8206 8.1862
angles: 90.00 105.20 90.00
Fractional coordinates of all 10 atoms:
Pm (0.2156, 0.2500, 0.3965)
Pm (0.7844, 0.7500, 0.6035)
In (0.4141, 0.2500, 0.8362)
In (0.5859, 0.7500, 0.1638)
O (0.0747, 0.2500, 0.6535)
O (0.4014, 0.2500, 0.0986)
O (0.4376, 0.7500, 0.3762)
O (0.5624, 0.2500, 0.6238)
O (0.5986, 0.7500, 0.9014)
O (0.9253, 0.7500, 0.3465)

Calculated values
Final energy   -34.54 eV/f.u.
M_tot   0.000 μB/atom